The following is a DFT calculation (PBE) of a geometry-optimized CaY2In2 structure.

Its formation energy is -0.21 eV per atom. As for the volume: 159 Å³/f.u. The total moment comes out at 0.2 μB per cell.

The structure belongs to space group I4/mmm (No. 139); the cell edges are 4.7996, 4.7996 and 13.8284 Å and the angles 90.00°, 90.00° and 90.00°. The inequivalent atoms are Ca at (0.0000, 0.0000, 0.0000), Y at (0.0000, 0.5000, 0.2500) and In at (0.0000, 0.0000, 0.3997).



The following is a DFT calculation (PBE) of a geometry-optimized ThMgMnC structure.

Its formation energy is 0.10 eV per atom. As for the volume: 73 Å³/f.u. The total moment comes out at 0.6 μB per cell.

The structure belongs to space group P4/nmm (No. 129, origin choice 2); the cell edges are 3.7054, 3.7054 and 10.6195 Å and the angles 90.00°, 90.00° and 90.00°. The inequivalent atoms are Th at (0.2500, 0.2500, 0.2005), Mg at (0.2500, 0.7500, 0.5000), Mn at (0.2500, 0.7500, 0.0000) and C at (0.2500, 0.2500, 0.9180).



Among the records above, which one has the lowest total moment? CaY2In2